Entry 1:
Compound: La4Sb2PS
Source: Alexandria
Functional: GGA-PBE
Structure: optimized geometry

Results
Magnetic moment   0.00 μB per cell
Raw formation energy   -150.7 kJ/mol of atoms
Symmetry   P2/m, No. 10

Cell lengths 7.6431, 4.4171, 7.6856 Å; angles 90.00, 109.32, 90.00 degrees
Closest atoms and distances in Å follow each position.
Atoms (fractional coordinates):
La (0.2405, 0.0000, 0.2295)  2 P 3.04, 1 S 3.06, 3 Sb 3.20-3.23
La (0.2532, 0.5000, 0.7690)  1 P 3.03, 2 S 3.06, 3 Sb 3.20-3.23
La (0.7468, 0.5000, 0.2310)  1 P 3.03, 2 S 3.06, 3 Sb 3.20-3.23
La (0.7595, 0.0000, 0.7705)  2 P 3.04, 1 S 3.06, 3 Sb 3.20-3.23
Sb (0.0000, 0.0000, 0.5000)  6 La 3.20
Sb (0.5000, 0.5000, 0.5000)  6 La 3.23
P (0.0000, 0.5000, 0.0000)  6 La 3.03-3.04
S (0.5000, 0.0000, 0.0000)  6 La 3.06

***

Entry 2:
Compound: Cs2Rb2Na
Source: Alexandria
Functional: GGA-PBE
Structure: optimized geometry

Results
Polymorph energy (0 for the lowest one)   0.0768 eV per atom
Calculated formation energy   101 meV per atom
Magnetic moment   0.00 μB per cell
Symmetry   I4/mmm, No. 139

Cell lengths 6.0661, 6.0661, 26.5609 Å; angles 90.00, 90.00, 90.00 degrees
Closest atoms and distances in Å follow each position.
Atoms (fractional coordinates):
Cs (0.0000, 0.0000, 0.0887)  1 Cs 4.71, 4 Na 4.89, 4 Rb 5.25
Cs (0.0000, 0.0000, 0.9113)  1 Cs 4.71, 4 Na 4.89, 4 Rb 5.25
Cs (0.5000, 0.5000, 0.4113)  1 Cs 4.71, 4 Na 4.89, 4 Rb 5.25
Cs (0.5000, 0.5000, 0.5887)  1 Cs 4.71, 4 Na 4.89, 4 Rb 5.25
Rb (0.0000, 0.5000, 0.2500)  4 Rb 4.29
Rb (0.0000, 0.5000, 0.7500)  4 Rb 4.29
Rb (0.5000, 0.0000, 0.2500)  4 Rb 4.29
Rb (0.5000, 0.0000, 0.7500)  4 Rb 4.29
Na (0.0000, 0.0000, 0.5000)  8 Cs 4.89
Na (0.5000, 0.5000, 0.0000)  8 Cs 4.89

***

E (eV/atom)
-6.25; -0.89